[1]
Material: Lu2PbSe4
Method: DFT, meta-GGA SCAN
State: PBEsol geometry

Cell: 12.446 3.992 14.473 Å, 90.00 90.00 90.00°
Space group Pnma (No. 62)
One atom of each set of equivalent atoms:
Lu: 0.056 0.250 0.114
Lu: 0.088 0.250 0.591
Pb: 0.248 0.750 0.826
Se: 0.040 0.750 0.715
Se: 0.093 0.250 0.927
Se: 0.126 0.750 0.463
Se: 0.202 0.750 0.165

Results
- E: -1.4605 hartree per atom
- Formation energy from raw total energies: -1.631 eV/atom

[2]
Material: NdFeNi4
Method: DFT, meta-GGA SCAN
State: PBEsol geometry

Cell: 4.9290 4.9290 3.8908 Å, 90.00 90.00 120.00°
Space group P-6m2 (No. 187)
One atom of each set of equivalent atoms:
Nd: 0.0000 0.0000 0.0000
Fe: 0.3333 0.6667 0.0000
Ni: 0.5003 0.0006 0.5000
Ni: 0.6667 0.3333 0.0000

Results
- E: -0.7821 hartree per atom
- Calculated formation energy: -213 meV/atom

[3]
Material: TiTe2AuN
Method: DFT, meta-GGA SCAN
State: PBEsol geometry

Cell: 5.386 5.386 3.673 Å, 90.00 90.00 90.00°
Space group P4/mmm (No. 123)
One atom of each set of equivalent atoms:
Ti: 0.000 0.000 0.000
Te: 0.000 0.500 0.000
Au: 0.500 0.500 0.500
N: 0.000 0.000 0.500

Results
- E: -1.2376 hartree per atom
- Formation energy from raw total energies: 0.119 eV/atom

[4]
Material: Ca2LaMn
Method: DFT, meta-GGA SCAN
State: PBEsol geometry

Cell: 4.155 5.231 5.545 Å, 90.00 90.00 90.00°
Space group Pmmm (No. 47)
One atom of each set of equivalent atoms:
Ca: 0.000 0.000 0.000
Ca: 0.500 0.500 0.000
La: 0.000 0.500 0.500
Mn: 0.500 0.000 0.500

Results
- E: -0.7347 hartree per atom
- Relative energy among the computed polymorphs: 0.58 eV/f.u.
- Calculated formation energy: 179 meV/atom

[5]
Material: Sc2Ni
Method: DFT, meta-GGA SCAN
State: PBEsol geometry

Cell: 3.232 14.307 4.633 Å, 90.00 90.00 90.00°
Space group Cmcm (No. 63)
One atom of each set of equivalent atoms:
Sc: 0.000 0.074 0.250
Sc: 0.000 0.217 0.750
Ni: 0.000 0.429 0.250

Results
- E: -0.5586 hartree per atom
- Calculated formation energy: -319 meV/atom

[6]
Material: TaTe2SN
Method: DFT, meta-GGA SCAN
State: PBEsol geometry

Cell: 5.286 5.286 3.299 Å, 90.00 90.00 90.00°
Space group P4/mmm (No. 123)
One atom of each set of equivalent atoms:
Ta: 0.000 0.000 0.000
Te: 0.000 0.500 0.500
S: 0.500 0.500 0.500
N: 0.500 0.500 0.000

Results
- E: -1.1367 hartree per atom
- Formation energy from raw total energies: 1.070 eV/atom

[7]
Material: LiZnTe2
Method: DFT, meta-GGA SCAN
State: PBEsol geometry

Cell: 7.316 3.401 7.558 Å, 90.00 102.89 90.00°
Space group C2/m (No. 12)
One atom of each set of equivalent atoms:
Li: 0.000 0.000 0.000
Zn: 0.000 0.500 0.500
Te: 0.239 0.500 0.266

Results
- E: -0.8467 hartree per atom
- Formation energy from raw total energies: -0.438 eV/atom

[8]
Material: Mg8Al4Cu2Si7
Method: DFT, meta-GGA SCAN
State: PBEsol geometry

Cell: 10.292 3.969 10.337 Å, 90.00 119.44 90.00°
Space group Pm (No. 6)
One atom of each set of equivalent atoms:
Mg: 0.000 0.000 0.000
Mg: 0.050 0.500 0.804
Mg: 0.322 0.000 0.950
Mg: 0.419 0.000 0.288
Mg: 0.543 0.500 0.553
Mg: 0.595 0.000 0.808
Mg: 0.657 0.000 0.183
Mg: 0.798 0.000 0.604
Al: 0.152 0.500 0.309
Al: 0.304 0.500 0.664
Al: 0.796 0.500 0.050
Al: 0.953 0.500 0.463
Cu: 0.112 0.000 0.450
Cu: 0.466 0.500 0.143
Si: 0.096 0.000 0.665
Si: 0.221 0.500 0.101
Si: 0.361 0.000 0.517
Si: 0.514 0.500 0.943
Si: 0.675 0.500 0.385
Si: 0.794 0.500 0.806
Si: 0.923 0.000 0.211

Results
- E: -0.3015 hartree per atom
- Formation energy from raw total energies: -0.047 eV/atom

Which of these has the highest E? Mg8Al4Cu2Si7